[1]
First-principles (GGA-PBE) data for a relaxed Te2PIr crystal, as listed in Alexandria via LeMat-Bulk.

```
Te2PIr
1.0
3.713 0.000 0.000
0.000 2.661 4.439
0.000 -2.661 4.439
Te P Ir
2 1 1
Direct
0.000 0.000 0.000
0.500 0.303 0.303
0.000 0.610 0.610
0.500 0.775 0.775
```

Results
- ΔE_f (raw) (meV/atom) = -43.1

[2]
First-principles (GGA-PBE) data for a relaxed TePIr2 crystal, as listed in Alexandria via LeMat-Bulk.

```
TePIr2
1.0
-1.514 2.579 4.527
1.514 -2.579 4.527
1.514 2.579 -4.527
Te P Ir
1 1 2
Direct
0.000 0.000 0.000
0.500 0.500 0.000
0.310 0.810 0.500
0.690 0.190 0.500
```

Results
- ΔE_f (raw) (meV/atom) = 499.5

[3]
First-principles (GGA-PBE) data for a relaxed Te2PIr crystal, as listed in Alexandria via LeMat-Bulk.

```
Te2PIr
1.0
1.744 1.007 8.830
-1.744 1.007 8.830
0.000 -2.014 8.830
Te P Ir
2 1 1
Direct
0.096 0.096 0.096
0.904 0.904 0.904
0.500 0.500 0.500
0.000 0.000 0.000
```

Results
- ΔE_f (raw) (meV/atom) = 809.2

[4]
First-principles (GGA-PBE) data for a relaxed TePIr2 crystal, as listed in Alexandria via LeMat-Bulk.

```
TePIr2
1.0
-2.153 2.153 3.567
2.153 -2.153 3.567
2.153 2.153 -3.567
Te P Ir
1 1 2
Direct
0.000 0.000 0.000
0.500 0.500 0.000
0.250 0.750 0.500
0.750 0.250 0.500
```

Results
- ΔE_f (raw) (meV/atom) = 478.3

[5]
First-principles (GGA-PBE) data for a relaxed Te2PIr crystal, as listed in Alexandria via LeMat-Bulk.

```
Te2PIr
1.0
2.957 0.000 0.000
0.000 3.863 0.000
0.000 0.000 7.852
Te P Ir
2 1 1
Direct
0.000 0.000 0.232
0.000 0.000 0.768
0.000 0.500 0.500
0.000 0.500 0.000
```

Results
- ΔE_f (raw) (meV/atom) = 378.4

[6]
First-principles (GGA-PBE) data for a relaxed TePIr2 crystal, as listed in Alexandria via LeMat-Bulk.

```
TePIr2
1.0
3.832 -1.724 0.000
3.832 1.724 0.000
-0.671 0.000 5.582
Te P Ir
1 1 2
Direct
0.000 0.000 0.000
0.817 0.817 0.461
0.269 0.269 0.730
0.516 0.516 0.406
```

Results
- ΔE_f (raw) (meV/atom) = -103.0

[7]
First-principles (GGA-PBE) data for a relaxed Te2PIr crystal, as listed in Alexandria via LeMat-Bulk.

```
Te2PIr
1.0
-2.729 2.729 2.861
2.729 -2.729 2.861
2.729 2.729 -2.861
Te P Ir
2 1 1
Direct
0.000 0.500 0.500
0.500 0.000 0.500
0.000 0.000 0.000
0.500 0.500 0.000
```

Results
- ΔE_f (raw) (meV/atom) = 330.4

[8]
First-principles (GGA-PBE) data for a relaxed Te2PIr crystal, as listed in Alexandria via LeMat-Bulk.

```
Te2PIr
1.0
3.317 0.000 0.000
0.000 4.695 0.000
0.000 0.000 5.165
Te P Ir
2 1 1
Direct
0.000 0.000 0.000
0.500 0.000 0.500
0.000 0.500 0.500
0.500 0.500 0.000
```

Results
- ΔE_f (raw) (meV/atom) = 771.7

[9]
First-principles (GGA-PBE) data for a relaxed Te2PIr crystal, as listed in Alexandria via LeMat-Bulk.

```
Te2PIr
1.0
1.959 1.131 6.503
-1.959 1.131 6.503
0.000 -2.262 6.503
Te P Ir
2 1 1
Direct
0.243 0.243 0.243
0.757 0.757 0.757
0.000 0.000 0.000
0.500 0.500 0.500
```

Results
- ΔE_f (raw) (meV/atom) = 200.3

[10]
First-principles (GGA-PBE) data for a relaxed Th8Te4P3Ir crystal, as listed in Alexandria via LeMat-Bulk.

```
Th8Te4P3Ir
1.0
4.242 2.449 7.360
-4.242 2.449 7.360
0.000 -4.898 7.360
Th Te P Ir
8 4 3 1
Direct
0.236 0.236 0.236
0.240 0.735 0.735
0.265 0.265 0.760
0.265 0.760 0.265
0.735 0.240 0.735
0.735 0.735 0.240
0.760 0.265 0.265
0.764 0.764 0.764
0.000 0.000 0.000
0.000 0.500 0.500
0.500 0.000 0.500
0.500 0.500 0.000
0.000 0.000 0.500
0.000 0.500 0.000
0.500 0.000 0.000
0.500 0.500 0.500
```

Results
- ΔE_f (raw) (meV/atom) = -1289.8

[11]
First-principles (GGA-PBE) data for a relaxed TiTe2PIr crystal, as listed in Alexandria via LeMat-Bulk.

```
TiTe2PIr
1.0
5.207 0.000 0.000
0.000 5.207 0.000
0.000 0.000 4.654
Ti Te P Ir
1 2 1 1
Direct
0.000 0.000 0.000
0.000 0.500 0.000
0.500 0.000 0.000
0.500 0.500 0.500
0.000 0.000 0.500
```

Results
- ΔE_f (raw) (meV/atom) = 920.4

[12]
First-principles (GGA-PBE) data for a relaxed Th2PIr3 crystal, as listed in Alexandria via LeMat-Bulk.

```
Th2PIr3
1.0
0.000 4.243 7.400
3.999 0.000 7.400
3.999 4.243 0.000
Th P Ir
4 2 6
Direct
0.248 0.752 0.752
0.250 0.250 0.250
0.750 0.750 0.750
0.752 0.248 0.248
0.334 0.334 0.666
0.666 0.666 0.334
0.175 0.650 0.350
0.176 0.176 0.824
0.350 0.825 0.175
0.650 0.175 0.825
0.824 0.824 0.176
0.825 0.350 0.650
```

Results
- VASP energy (eV/atom) = -8.781

no.,Fermi-level density of states (states/eV/cell)
1,2.31
2,3.28
3,2.85
4,3.92
5,2.37
6,1.89
7,2.96
8,2.95
9,2.72
10,13.02
11,3.32
12,9.79